! SmPI, optimized geometry, DFT GGA-PBE; values from VASP
! - Symmetry: No. 107
! - DOS(E_F): 0.75 states/eV per atom
! - Size of the total moment: 0.0074 μB/atom
! - Raw formation energy: -0.805 eV/atom
! - Relative energy among the computed polymorphs: 415 meV per atom
&SYSTEM
  ibrav = 0, nat = 6, ntyp = 3
/
ATOMIC_SPECIES
Sm 150.36 Sm.upf
P 30.97 P.upf
I 126.90 I.upf
CELL_PARAMETERS angstrom
3.907 0.000 0.000
0.000 3.907 0.000
0.000 0.000 11.214
ATOMIC_POSITIONS angstrom
Sm 0.000 0.000 0.000
Sm 1.953 1.953 5.607
P 0.000 0.000 6.418
P 1.953 1.953 0.811
I 0.000 0.000 3.411
I 1.953 1.953 9.018